The following is a PBE with a Hubbard U calculation of a relaxed structure of Mg3MoO6, from the Alexandria database.

Cell: 5.191 5.191 5.549 Å, 62.11 62.11 60.00°
Element x y z (fractional)
1 Mg 0.357 0.357 0.929
2 Mg 0.645 0.645 0.065
3 Mg 0.142 0.142 0.575
4 Mo 0.848 0.848 0.455
5 O 0.949 0.580 0.254
6 O 0.216 0.949 0.254
7 O 0.580 0.216 0.254
8 O 0.050 0.465 0.738
9 O 0.747 0.050 0.738
10 O 0.465 0.747 0.738

Computed properties:
DFT total energy: -6.44 eV/atom
Space group: R3 (146)
V: 10.90 Å³ per atom